PBE NbZnSn2Pb, relaxed; DFT formation energy = 1.356 eV/atom; magnetic moment = 2.67 μB/cell; DOS at the Fermi energy = 4.3 states/eV per cell
1.0
5.776 0.000 0.000
0.000 5.776 0.000
0.000 0.000 5.468
Nb Zn Sn Pb
1 1 2 1
Direct
0.000 0.000 0.000
0.500 0.500 0.000
0.000 0.500 0.500
0.500 0.000 0.500
0.000 0.000 0.500

PBE Na2BeAu3, relaxed; DFT formation energy = -0.244 eV/atom; magnetic moment = 0.00 μB/cell; DOS at the Fermi energy = 2.3 states/eV per cell
1.0
2.857 1.650 3.877
-2.857 1.650 3.877
0.000 -3.299 3.877
Na Be Au
2 1 3
Direct
0.121 0.121 0.121
0.879 0.879 0.879
0.500 0.500 0.500
0.000 0.500 0.500
0.500 0.000 0.500
0.500 0.500 0.000

PBE AcNbGe3, relaxed; DFT formation energy = -0.582 eV/atom; magnetic moment = 0.00 μB/cell; DOS at the Fermi energy = 3.9 states/eV per cell
1.0
6.512 0.000 0.000
-3.256 5.640 0.000
0.000 0.000 5.971
Ac Nb Ge
2 2 6
Direct
0.333 0.667 0.250
0.667 0.333 0.750
0.000 0.000 0.000
0.000 0.000 0.500
0.199 0.398 0.750
0.199 0.801 0.750
0.398 0.199 0.250
0.602 0.801 0.750
0.801 0.199 0.250
0.801 0.602 0.250

PBE Tm4MgAg5, relaxed; DFT formation energy = -0.312 eV/atom; magnetic moment = 0.00 μB/cell; DOS at the Fermi energy = 4.0 states/eV per cell
1.0
3.522 0.000 0.000
0.000 3.522 0.000
0.000 0.000 17.933
Tm Mg Ag
4 1 5
Direct
0.000 0.000 0.103
0.000 0.000 0.308
0.000 0.000 0.692
0.000 0.000 0.897
0.000 0.000 0.500
0.500 0.500 0.000
0.500 0.500 0.206
0.500 0.500 0.410
0.500 0.500 0.590
0.500 0.500 0.794

PBE Ac4Sm5Tm2, relaxed; DFT formation energy = 0.053 eV/atom; magnetic moment = 0.00 μB/cell; DOS at the Fermi energy = 17.0 states/eV per cell
1.0
9.517 -2.662 0.000
9.517 2.662 0.000
-2.078 0.000 7.998
Ac Sm Tm
4 5 2
Direct
0.043 0.043 0.229
0.318 0.318 0.593
0.682 0.682 0.407
0.957 0.957 0.771
0.138 0.138 0.692
0.226 0.226 0.124
0.500 0.500 0.500
0.774 0.774 0.876
0.862 0.862 0.308
0.408 0.408 0.051
0.592 0.592 0.949

PBE LaPrAgBi, relaxed; DFT formation energy = -0.531 eV/atom; magnetic moment = 0.00 μB/cell; DOS at the Fermi energy = 3.7 states/eV per cell
1.0
0.000 3.905 3.905
3.905 0.000 3.905
3.905 3.905 0.000
La Pr Ag Bi
1 1 1 1
Direct
0.000 0.000 0.000
0.500 0.500 0.500
0.250 0.250 0.250
0.750 0.750 0.750

PBE RbFeNiCl6, relaxed; magnetic moment = 3.00 μB/cell; ΔE_f (raw) = -0.89 eV/atom; DOS at the Fermi energy = 9.2 states/eV per cell
1.0
6.139 0.000 0.000
-3.070 5.317 0.000
0.000 0.000 7.411
Rb Fe Ni Cl
1 1 1 6
Direct
0.000 0.000 0.000
0.667 0.333 0.500
0.333 0.667 0.500
0.379 0.014 0.677
0.379 0.365 0.323
0.635 0.014 0.323
0.635 0.621 0.677
0.986 0.365 0.677
0.986 0.621 0.323

PBE CrSn, relaxed; DFT formation energy = 0.284 eV/atom; magnetic moment = 0.00 μB/cell; DOS at the Fermi energy = 10.9 states/eV per cell
1.0
-5.941 6.596 -4.788
-6.387 -0.087 7.805
1.545 2.328 1.290
Cr Sn
8 8
Direct
0.033 0.640 0.500
0.967 0.360 0.500
0.360 0.033 0.500
0.640 0.967 0.500
0.860 0.533 0.000
0.140 0.467 0.000
0.467 0.860 0.000
0.533 0.140 0.000
0.674 0.367 0.500
0.326 0.633 0.500
0.633 0.674 0.500
0.367 0.326 0.500
0.867 0.826 0.000
0.133 0.174 0.000
0.174 0.867 0.000
0.826 0.133 0.000